Compound: Mn2CrWO6
Source: the Alexandria database
Functional: GGA+U
Structure: relaxed

Summary:
theoretical density	6.4	g/cm3
final energy	-7.789	eV per atom
symmetry	No. 1

Cell lengths 5.3078, 5.3532, 5.5618 Å; angles 90.93, 118.04, 119.55 degrees
Atoms (fractional coordinates):
Mn1 0.0000 0.0000 0.0000
Mn2 0.0022 0.5031 0.4950
Cr1 0.4380 0.7167 0.1525
W1 0.4381 0.2176 0.6519
O1 0.2947 0.4406 0.3726
O2 0.3145 0.3478 0.8836
O3 0.5286 0.9433 0.8748
O4 0.5344 0.0847 0.3848
O5 0.9361 0.5844 0.8792
O6 0.9371 0.8484 0.3798